## a
The following is a DFT calculation (meta-GGA SCAN) of BaTa2Cd at its PBEsol-relaxed geometry.

Computed properties:
**DOS(E_F)**: 3.9 states/eV/f.u.
**Calculated volume**: 91 Å³ per cell

a = 2.8701 Å, b = 6.0093 Å, c = 6.0093 Å
α = 119.15°, β = 90.00°, γ = 90.00°
Last column: nearest neighbours and their distance in Å.
Fractional positions:
Ta  0.0000  0.0000  0.5000  4 Ta 2.87-3.04
Ta  0.0000  0.5000  0.0000  4 Ta 2.87-3.04
Cd  0.5000  0.5000  0.5000  2 Cd 2.87, 2 Ba 3.04
Ba  0.5000  0.0000  0.0000  2 Ba 2.87, 2 Cd 3.04

---

## b
The following is a DFT calculation (meta-GGA SCAN) of BaTa2Cd at its PBEsol-relaxed geometry.

Computed properties:
**DOS(E_F)**: 3.4 states/eV/f.u.
**Calculated volume**: 91 Å³ per cell

a = 3.0180 Å, b = 3.0180 Å, c = 10.4137 Å
α = 90.00°, β = 90.00°, γ = 106.67°
Last column: nearest neighbours and their distance in Å.
Fractional positions:
Ta  0.5000  0.5000  0.7949  6 Ta 2.71-3.02
Ta  0.0000  0.0000  0.9895  6 Ta 2.71-3.02, 2 Cd 2.95
Ba  0.0000  0.0000  0.5019  4 Ba 3.02
Cd  0.5000  0.5000  0.2137  2 Ta 2.95, 4 Cd 3.02

---

## c
The following is a DFT calculation (meta-GGA SCAN) of BaTa2Cd at its PBEsol-relaxed geometry.

Computed properties:
**DOS(E_F)**: 3.9 states/eV/f.u.
**Calculated volume**: 99 Å³ per cell

a = 2.9847 Å, b = 5.1667 Å, c = 6.4917 Å
α = 90.00°, β = 96.63°, γ = 90.00°
Last column: nearest neighbours and their distance in Å.
Fractional positions:
Ba  0.5000  0.5000  0.0000  2 Ba 2.98
Cd  0.0000  0.5000  0.5000  4 Ta 2.91, 2 Cd 2.98
Ta  0.7893  0.0000  0.6695  2 Ta 2.64-2.66, 2 Cd 2.91
Ta  0.2107  0.0000  0.3305  2 Ta 2.64-2.66, 2 Cd 2.91

---

b (314 meV per atom below the next structure)

---

## a
The following is a DFT calculation (meta-GGA SCAN) of BaTa2Cd at its PBEsol-relaxed geometry.

Computed properties:
**DOS(E_F)**: 4.6 states/eV/f.u.
**Calculated volume**: 91 Å³ per cell

a = 4.3527 Å, b = 4.3527 Å, c = 4.7817 Å
α = 90.00°, β = 90.00°, γ = 90.00°
Last column: nearest neighbours and their distance in Å.
Fractional positions:
Ba  0.5000  0.5000  0.5000  4 Cd 3.08, 8 Ta 3.23
Ta  0.0000  0.5000  0.0000  4 Ta 3.08, 4 Ba 3.23, 4 Cd 3.23
Ta  0.5000  0.0000  0.0000  4 Ta 3.08, 4 Ba 3.23, 4 Cd 3.23
Cd  0.0000  0.0000  0.5000  4 Ba 3.08, 8 Ta 3.23

---

## b
The following is a DFT calculation (meta-GGA SCAN) of BaTa2Cd at its PBEsol-relaxed geometry.

Computed properties:
**DOS(E_F)**: 3.0 states/eV/f.u.
**Calculated volume**: 102 Å³ per cell

a = 3.0098 Å, b = 4.9758 Å, c = 7.1802 Å
α = 95.00°, β = 90.00°, γ = 107.60°
Last column: nearest neighbours and their distance in Å.
Fractional positions:
Ta  0.2700  0.5400  0.8513  3 Ta 2.66-2.75, 2 Cd 2.92
Ta  0.0074  0.0149  0.9516  3 Ta 2.66-2.75
Ba  0.4887  0.9774  0.5042  2 Ba 3.01, 1 Cd 3.37
Cd  0.7339  0.4677  0.1929  5 Ta 2.92-3.25, 2 Cd 3.01

---

b (512 meV per atom below the next structure)

---

## a
The following is a DFT calculation (meta-GGA SCAN) of BaCd2Tc at its PBEsol-relaxed geometry.

Computed properties:
**DOS(E_F)**: 2.4 states/eV/f.u.
**Calculated volume**: 93 Å³ per cell

a = 4.4769 Å, b = 4.4769 Å, c = 5.5998 Å
α = 113.56°, β = 113.56°, γ = 90.00°
Last column: nearest neighbours and their distance in Å.
Fractional positions:
Ba  0.0000  0.0000  0.0000  4 Tc 3.17, 8 Cd 3.22
Tc  0.5000  0.5000  0.0000  4 Ba 3.17, 8 Cd 3.22
Cd  0.7500  0.2500  0.5000  4 Cd 3.17, 4 Ba 3.22, 4 Tc 3.22
Cd  0.2500  0.7500  0.5000  4 Cd 3.17, 4 Ba 3.22, 4 Tc 3.22

---

## b
The following is a DFT calculation (meta-GGA SCAN) of BaCd2Tc at its PBEsol-relaxed geometry.

Computed properties:
**DOS(E_F)**: 3.4 states/eV/f.u.
**Calculated volume**: 98 Å³ per cell

a = 3.5812 Å, b = 3.5812 Å, c = 7.6547 Å
α = 90.00°, β = 90.00°, γ = 90.00°
Last column: nearest neighbours and their distance in Å.
Fractional positions:
Ba  0.5000  0.5000  0.7226  5 Cd 3.34-3.63, 4 Tc 3.39, 4 Ba 3.58
Cd  0.0000  0.0000  0.0632  1 Tc 2.80, 4 Cd 3.05
Cd  0.5000  0.5000  0.2859  4 Tc 2.76, 4 Cd 3.05
Tc  0.0000  0.0000  0.4283  5 Cd 2.76-2.80

---

b (93 meV per atom below the next structure)

---

## a
The following is a DFT calculation (meta-GGA SCAN) of Ba2TlCd at its PBEsol-relaxed geometry.

Computed properties:
**DOS(E_F)**: 2.7 states/eV/f.u.
**Calculated volume**: 145 Å³ per cell

a = 4.1002 Å, b = 5.9256 Å, c = 5.9545 Å
α = 90.00°, β = 90.00°, γ = 90.00°
Last column: nearest neighbours and their distance in Å.
Fractional positions:
Cd  0.5000  0.0000  0.6018  8 Ba 3.56-3.67
Ba  0.0000  0.5000  0.6382  4 Tl 3.57-3.66, 4 Cd 3.61
Ba  0.0000  0.0000  0.1122  4 Cd 3.56-3.67, 4 Tl 3.61
Tl  0.5000  0.5000  0.1477  8 Ba 3.57-3.66

---

## b
The following is a DFT calculation (meta-GGA SCAN) of Ba2TlCd at its PBEsol-relaxed geometry.

Computed properties:
**DOS(E_F)**: 2.6 states/eV/f.u.
**Calculated volume**: 141 Å³ per cell

a = 4.1257 Å, b = 5.7903 Å, c = 6.8872 Å
α = 114.86°, β = 107.43°, γ = 90.00°
Last column: nearest neighbours and their distance in Å.
Fractional positions:
Ba  0.0273  0.0273  0.0545  4 Cd 3.62, 2 Ba 3.68, 2 Tl 3.68
Ba  0.2199  0.7199  0.4398  2 Cd 3.63, 4 Tl 3.64, 2 Ba 3.68
Tl  0.7857  0.2857  0.5714  2 Cd 2.97
Cd  0.4671  0.4671  0.9343  2 Tl 2.97

---

a (69 meV per atom below the next structure)

---

## a
The following is a DFT calculation (meta-GGA SCAN) of Ba2TlCd at its PBEsol-relaxed geometry.

Computed properties:
**DOS(E_F)**: 3.1 states/eV/f.u.
**Calculated volume**: 145 Å³ per cell

a = 5.8943 Å, b = 5.8943 Å, c = 5.8943 Å
α = 60.00°, β = 60.00°, γ = 60.00°
Last column: nearest neighbours and their distance in Å.
Fractional positions:
Cd  0.0000  0.0000  0.0000  8 Ba 3.61
Ba  0.2500  0.2500  0.2500  4 Cd 3.61, 4 Tl 3.61
Ba  0.7500  0.7500  0.7500  4 Cd 3.61, 4 Tl 3.61
Tl  0.5000  0.5000  0.5000  8 Ba 3.61

---

## b
The following is a DFT calculation (meta-GGA SCAN) of Ba2TlCd at its PBEsol-relaxed geometry.

Computed properties:
**DOS(E_F)**: 2.3 states/eV/f.u.
**Calculated volume**: 145 Å³ per cell

a = 4.1543 Å, b = 4.1543 Å, c = 8.3840 Å
α = 90.00°, β = 90.00°, γ = 90.00°
Last column: nearest neighbours and their distance in Å.
Fractional positions:
Ba  0.0000  0.0000  0.2519  4 Cd 3.60, 4 Tl 3.62
Ba  0.0000  0.0000  0.7481  4 Cd 3.60, 4 Tl 3.62
Cd  0.5000  0.5000  0.5000  8 Ba 3.60
Tl  0.5000  0.5000  0.0000  8 Ba 3.62

---

a (7 meV per atom below the next structure)

---

## a
The following is a DFT calculation (meta-GGA SCAN) of BaTlCd2 at its PBEsol-relaxed geometry.

Computed properties:
**DOS(E_F)**: 1.7 states/eV/f.u.
**Calculated volume**: 112 Å³ per cell

a = 5.4124 Å, b = 5.4124 Å, c = 5.4124 Å
α = 60.00°, β = 60.00°, γ = 60.00°
Last column: nearest neighbours and their distance in Å.
Fractional positions:
Tl  0.5000  0.5000  0.5000  4 Ba 3.31, 4 Cd 3.31
Ba  0.2500  0.2500  0.2500  4 Cd 3.31, 4 Tl 3.31
Cd  0.7500  0.7500  0.7500  4 Tl 3.31, 4 Cd 3.31
Cd  0.0000  0.0000  0.0000  4 Cd 3.31, 4 Ba 3.31

---

## b
The following is a DFT calculation (meta-GGA SCAN) of BaTlCd2 at its PBEsol-relaxed geometry.

Computed properties:
**DOS(E_F)**: 1.4 states/eV/f.u.
**Calculated volume**: 113 Å³ per cell

a = 5.4214 Å, b = 5.4354 Å, c = 5.4185 Å
α = 119.90°, β = 90.00°, γ = 119.91°
Last column: nearest neighbours and their distance in Å.
Fractional positions:
Cd  0.2502  0.5003  0.2502  4 Tl 3.32-3.33, 4 Ba 3.33
Cd  0.7498  0.4997  0.7498  4 Tl 3.32-3.33, 4 Ba 3.33
Tl  0.5000  0.0000  0.0000  8 Cd 3.32-3.33
Ba  0.0000  0.0000  0.5000  8 Cd 3.33

---

a (6 meV per atom below the next structure)

---

## a
The following is a DFT calculation (meta-GGA SCAN) of BaYCd at its PBEsol-relaxed geometry.

Computed properties:
**DOS(E_F)**: 2.8 states/eV/f.u.
**Calculated volume**: 104 Å³ per cell

a = 5.2741 Å, b = 5.2741 Å, c = 5.2741 Å
α = 60.00°, β = 60.00°, γ = 60.00°
Last column: nearest neighbours and their distance in Å.
Fractional positions:
Ba  0.0000  0.0000  0.0000  4 Y 3.23
Cd  0.5000  0.5000  0.5000  4 Y 3.23
Y  0.2500  0.2500  0.2500  4 Cd 3.23, 4 Ba 3.23

---

## b
The following is a DFT calculation (meta-GGA SCAN) of BaYCd at its PBEsol-relaxed geometry.

Computed properties:
**DOS(E_F)**: 2.8 states/eV/f.u.
**Calculated volume**: 102 Å³ per cell

a = 4.0575 Å, b = 5.3979 Å, c = 5.3979 Å
α = 120.00°, β = 90.00°, γ = 90.00°
Last column: nearest neighbours and their distance in Å.
Fractional positions:
Ba  0.5000  0.0000  0.0000  6 Y 3.72, 6 Cd 3.72, 2 Ba 4.06
Cd  0.0000  0.3333  0.6667  3 Y 3.12
Y  0.0000  0.6667  0.3333  3 Cd 3.12

---

b (330 meV per atom below the next structure)

---

## a
The following is a DFT calculation (meta-GGA SCAN) of Ba2ZnCd at its PBEsol-relaxed geometry.

Computed properties:
**DOS(E_F)**: 2.9 states/eV/f.u.
**Calculated volume**: 136 Å³ per cell

a = 5.7753 Å, b = 5.7753 Å, c = 5.7753 Å
α = 60.00°, β = 60.00°, γ = 60.00°
Last column: nearest neighbours and their distance in Å.
Fractional positions:
Ba  0.7500  0.7500  0.7500  4 Zn 3.54, 4 Cd 3.54
Ba  0.2500  0.2500  0.2500  4 Cd 3.54, 4 Zn 3.54
Cd  0.5000  0.5000  0.5000  8 Ba 3.54
Zn  0.0000  0.0000  0.0000  8 Ba 3.54

---

## b
The following is a DFT calculation (meta-GGA SCAN) of Ba2ZnCd at its PBEsol-relaxed geometry.

Computed properties:
**DOS(E_F)**: 3.5 states/eV/f.u.
**Calculated volume**: 130 Å³ per cell

a = 3.9399 Å, b = 5.7422 Å, c = 6.7128 Å
α = 115.22°, β = 107.07°, γ = 90.00°
Last column: nearest neighbours and their distance in Å.
Fractional positions:
Zn  0.2128  0.7138  0.4256  2 Cd 2.73
Ba  0.7747  0.2751  0.5494  4 Zn 3.55-3.56, 4 Ba 3.60-3.94, 4 Cd 3.71-3.88
Ba  0.9637  0.9632  0.9274  2 Zn 3.49, 2 Ba 3.60, 4 Cd 3.62
Cd  0.5488  0.5479  0.0976  2 Zn 2.73

---

a (47 meV per atom below the next structure)

---

## a
The following is a DFT calculation (meta-GGA SCAN) of BaZrCd2 at its PBEsol-relaxed geometry.

Computed properties:
**DOS(E_F)**: 4.0 states/eV/f.u.
**Calculated volume**: 104 Å³ per cell

a = 5.2765 Å, b = 5.2765 Å, c = 5.2765 Å
α = 60.00°, β = 60.00°, γ = 60.00°
Last column: nearest neighbours and their distance in Å.
Fractional positions:
Zr  0.2500  0.2500  0.2500  4 Ba 3.23, 4 Cd 3.23
Ba  0.5000  0.5000  0.5000  4 Cd 3.23, 4 Zr 3.23
Cd  0.7500  0.7500  0.7500  4 Ba 3.23, 4 Cd 3.23
Cd  0.0000  0.0000  0.0000  4 Cd 3.23, 4 Zr 3.23

---

## b
The following is a DFT calculation (meta-GGA SCAN) of BaZrCd2 at its PBEsol-relaxed geometry.

Computed properties:
**DOS(E_F)**: 2.8 states/eV/f.u.
**Calculated volume**: 104 Å³ per cell

a = 3.2675 Å, b = 5.6480 Å, c = 5.6480 Å
α = 90.00°, β = 90.00°, γ = 90.00°
Last column: nearest neighbours and their distance in Å.
Fractional positions:
Cd  0.0000  0.5000  0.0000  4 Zr 3.26, 4 Ba 3.26, 2 Cd 3.27
Cd  0.0000  0.0000  0.5000  4 Zr 3.26, 4 Ba 3.26, 2 Cd 3.27
Zr  0.5000  0.5000  0.5000  8 Cd 3.26, 2 Zr 3.27
Ba  0.5000  0.0000  0.0000  8 Cd 3.26, 2 Ba 3.27

---

b (311 meV per atom below the next structure)

---

## a
The following is a DFT calculation (meta-GGA SCAN) of Ba2Cl at its PBEsol-relaxed geometry.

Computed properties:
**DOS(E_F)**: 2.7 states/eV/f.u.
**Calculated volume**: 257 Å³ per cell

a = 4.0903 Å, b = 4.1550 Å, c = 15.2922 Å
α = 82.19°, β = 90.00°, γ = 90.00°
Last column: nearest neighbours and their distance in Å.
Fractional positions:
Ba  0.7500  0.1940  0.6120  2 Cl 3.37
Ba  0.7500  0.5650  0.8701  4 Cl 3.16
Ba  0.2500  0.8060  0.3880  2 Cl 3.37
Ba  0.2500  0.4350  0.1299  4 Cl 3.16
Cl  0.2500  0.1054  0.7892  6 Ba 3.16-3.37
Cl  0.7500  0.8946  0.2108  6 Ba 3.16-3.37

---

## b
The following is a DFT calculation (meta-GGA SCAN) of Ba2Cl at its PBEsol-relaxed geometry.

Computed properties:
**DOS(E_F)**: 2.0 states/eV/f.u.
**Calculated volume**: 243 Å³ per cell

a = 6.7149 Å, b = 6.4609 Å, c = 6.4609 Å
α = 120.00°, β = 90.00°, γ = 90.00°
Last column: nearest neighbours and their distance in Å.
Fractional positions:
Cl  0.7500  0.3333  0.6667  5 Ba 3.36-3.73
Cl  0.2500  0.6667  0.3333  5 Ba 3.36-3.73
Ba  0.2500  0.3333  0.6667  5 Cl 3.36-3.73
Ba  0.5000  0.0000  0.0000  2 Ba 3.36
Ba  0.7500  0.6667  0.3333  5 Cl 3.36-3.73
Ba  0.0000  0.0000  0.0000  2 Ba 3.36

---

a (463 meV per atom below the next structure)

---

## a
The following is a DFT calculation (meta-GGA SCAN) of Ba2CoCl at its PBEsol-relaxed geometry.

Computed properties:
**DOS(E_F)**: 3.5 states/eV/f.u.
**Calculated volume**: 121 Å³ per cell

a = 4.4468 Å, b = 4.4468 Å, c = 6.1442 Å
α = 90.00°, β = 90.00°, γ = 90.00°
Last column: nearest neighbours and their distance in Å.
Fractional positions:
Co  0.0000  0.0000  0.5000  6 Ba 3.07-3.14
Cl  0.5000  0.5000  0.0000  6 Ba 3.07-3.14
Ba  0.0000  0.0000  0.0000  2 Co 3.07, 4 Cl 3.14
Ba  0.5000  0.5000  0.5000  2 Cl 3.07, 4 Co 3.14

---

## b
The following is a DFT calculation (meta-GGA SCAN) of Ba2CoCl at its PBEsol-relaxed geometry.

Computed properties:
**DOS(E_F)**: 4.1 states/eV/f.u.
**Calculated volume**: 109 Å³ per cell

a = 5.3565 Å, b = 5.3547 Å, c = 5.3547 Å
α = 60.00°, β = 59.98°, γ = 59.98°
Last column: nearest neighbours and their distance in Å.
Fractional positions:
Co  0.5000  0.0000  0.0000  8 Ba 3.28
Ba  0.7500  0.2500  0.2500  4 Cl 3.28, 4 Co 3.28
Ba  0.2500  0.7500  0.7500  4 Cl 3.28, 4 Co 3.28
Cl  0.0000  0.5000  0.5000  8 Ba 3.28

---

a (215 meV per atom below the next structure)

---

## a
The following is a DFT calculation (meta-GGA SCAN) of BaCoCl2 at its PBEsol-relaxed geometry.

Computed properties:
**DOS(E_F)**: 0.5 states/eV/f.u.
**Calculated volume**: 98 Å³ per cell

a = 4.0959 Å, b = 4.5092 Å, c = 5.7770 Å
α = 112.87°, β = 90.00°, γ = 90.00°
Last column: nearest neighbours and their distance in Å.
Fractional positions:
Ba  0.5000  0.4423  0.7603  7 Cl 3.13-3.15, 4 Co 3.40
Cl  0.0000  0.0168  0.9100  1 Co 2.31
Cl  0.5000  0.7395  0.3529  2 Co 2.15
Co  0.0000  0.8013  0.4769  3 Cl 2.15-2.31

---

## b
The following is a DFT calculation (meta-GGA SCAN) of BaCoCl2 at its PBEsol-relaxed geometry.

Computed properties:
**DOS(E_F)**: 0.2 states/eV/f.u.
**Calculated volume**: 92 Å³ per cell

a = 3.9358 Å, b = 4.3887 Å, c = 5.8391 Å
α = 104.27°, β = 109.70°, γ = 90.00°
Last column: nearest neighbours and their distance in Å.
Fractional positions:
Ba  0.2985  0.1645  0.5970  7 Cl 3.15-3.31, 2 Co 3.25-3.30
Co  0.5278  0.8070  0.0555  3 Cl 2.14-2.23
Cl  0.6875  0.5832  0.3751  1 Co 2.23
Cl  0.9862  0.9452  0.9724  2 Co 2.14

---

a (110 meV per atom below the next structure)